{
  "formula": "Li5Pm4Sb6",
  "functional": "PBE-GGA",
  "state": "optimized geometry",
  "formation_energy_uncorrected_mev_per_atom": -867,
  "magmom_total_mub_per_cell": 0.0,
  "lattice": [[-0.807, -4.102, 1.867], [8.431, 3.312, 5.304], [-9.715, 6.960, 11.096]],
  "species": ["Sb", "Sb", "Sb", "Sb", "Sb", "Sb", "Sb", "Sb", "Sb", "Sb", "Sb", "Sb", "Li", "Li", "Li", "Li", "Li", "Li", "Li", "Li", "Li", "Li", "Pm", "Pm", "Pm", "Pm", "Pm", "Pm", "Pm", "Pm"],
  "fractional_positions": [[0.566, 0.132, 0.629], [0.433, 0.866, 0.853], [0.111, 0.222, 0.123], [0.425, 0.851, 0.405], [0.434, 0.868, 0.129], [0.779, 0.559, 0.986], [0.575, 0.149, 0.905], [0.567, 0.134, 0.353], [0.775, 0.549, 0.265], [0.889, 0.778, 0.623], [0.225, 0.451, 0.765], [0.221, 0.441, 0.486], [0.152, 0.304, 0.627], [0.350, 0.700, 0.991], [0.848, 0.696, 0.127], [0.656, 0.311, 0.763], [0.564, 0.128, 0.178], [0.303, 0.606, 0.624], [0.697, 0.394, 0.124], [0.650, 0.300, 0.491], [0.344, 0.689, 0.263], [0.436, 0.872, 0.678], [0.180, 0.360, 0.948], [0.820, 0.640, 0.448], [0.827, 0.654, 0.801], [0.029, 0.058, 0.762], [0.173, 0.346, 0.301], [0.971, 0.942, 0.262], [0.984, 0.968, 0.001], [0.016, 0.032, 0.501]]
}



{
  "formula": "CaAc2Sn3Au6",
  "functional": "PBE-GGA",
  "state": "optimized geometry",
  "formation_energy_ev_per_atom": -0.3137,
  "magmom_total_mub_per_cell": 0.0,
  "lattice": [[4.727, 0.000, 0.000], [0.000, 4.727, 0.000], [0.000, 0.000, 16.638]],
  "species": ["Ac", "Ac", "Sn", "Sn", "Sn", "Au", "Au", "Au", "Au", "Au", "Au", "Ca"],
  "fractional_positions": [[0.500, 0.500, 0.225], [0.500, 0.500, 0.775], [0.000, 0.000, 0.313], [0.000, 0.000, 0.687], [0.000, 0.000, 0.000], [0.500, 0.000, 0.391], [0.000, 0.000, 0.155], [0.000, 0.000, 0.845], [0.000, 0.500, 0.609], [0.000, 0.500, 0.391], [0.500, 0.000, 0.609], [0.500, 0.500, 0.500]]
}